Material: LiScSi
Method: DFT, PBE
State: relaxed

a b c (Å): 4.1822 4.1822 4.1822
angles (deg): 60.00 60.00 60.00
Closest atoms and distances in Å follow each position.
Fractional positions:
Sc 0.0000 0.0000 0.0000  4 Li 2.56
Si 0.5000 0.5000 0.5000  4 Li 2.56
Li 0.7500 0.7500 0.7500  4 Sc 2.56, 4 Si 2.56

Magnetic moment (μB per atom): 0.000
Formation energy without anion corrections (eV/atom): -0.26
SG: F-43m
Calculated total energy (eV per atom): -4.816

---

Material: LiScSi2
Method: DFT, PBE
State: relaxed

a b c (Å): 5.3747 5.3747 5.3747
angles (deg): 141.10 135.80 60.32
Closest atoms and distances in Å follow each position.
Fractional positions:
Li 0.4890 0.4890 0.0000  6 Si 2.67-2.70, 2 Sc 2.98
Si 0.8022 0.3022 0.5000  2 Si 2.41, 2 Li 2.67
Si 0.9766 0.9766 0.0000  2 Si 2.41, 4 Li 2.70
Sc 0.2322 0.7322 0.5000  8 Si 2.78-3.04, 4 Li 2.98-3.03

Magnetic moment (μB per atom): 0.000
Formation energy without anion corrections (eV/atom): -0.34
SG: Imm2
Calculated total energy (eV per atom): -5.116

---

Material: LiSc2Si
Method: DFT, PBE
State: relaxed

a b c (Å): 10.7111 10.7111 10.7111
angles (deg): 16.68 16.68 16.68
Closest atoms and distances in Å follow each position.
Fractional positions:
Si 0.0000 0.0000 0.0000  2 Sc 2.68
Sc 0.9153 0.9153 0.9153  1 Si 2.68
Sc 0.0847 0.0847 0.0847  1 Si 2.68
Li 0.5000 0.5000 0.5000  6 Li 3.11, 6 Sc 3.16

Magnetic moment (μB per atom): 0.000
Formation energy without anion corrections (eV/atom): 0.35
SG: R-3m
Calculated total energy (eV per atom): -4.649

---

Material: LiScSi
Method: DFT, PBE
State: relaxed

a b c (Å): 4.3248 3.7462 6.7634
angles (deg): 90.00 71.38 90.00
Closest atoms and distances in Å follow each position.
Fractional positions:
Si 0.7347 0.5000 0.3232  4 Sc 2.72-2.78, 6 Li 2.86-2.92
Si 0.4219 0.5000 0.9518  6 Sc 2.78-2.88, 4 Li 2.92-3.00
Li 0.2466 0.0000 0.3012  2 Li 2.81, 6 Si 2.86-2.92, 4 Sc 2.88-3.03
Li 0.0832 0.5000 0.6278  2 Li 2.81, 6 Sc 2.86-3.05, 4 Si 2.91-3.00
Sc 0.5813 0.0000 0.6316  4 Si 2.72-2.78, 6 Li 2.86-3.03
Sc 0.8956 0.0000 0.0035  6 Si 2.78-2.88, 4 Li 2.88-3.05

Magnetic moment (μB per atom): 0.000
Formation energy without anion corrections (eV/atom): -0.35
SG: Amm2
Calculated total energy (eV per atom): -4.903

---

Material: LiScSi2
Method: DFT, PBE
State: relaxed

a b c (Å): 6.2823 4.8579 2.8674
angles (deg): 89.89 63.03 120.85
Closest atoms and distances in Å follow each position.
Fractional positions:
Si 0.0000 0.0000 0.0000  4 Si 2.80-2.87, 4 Li 2.82, 4 Sc 2.82
Si 0.5000 0.0000 0.5000  4 Si 2.80-2.87, 4 Sc 2.82, 4 Li 2.82
Sc 0.5000 0.5000 0.0000  2 Li 2.80, 8 Si 2.82, 2 Sc 2.87
Li 0.0000 0.5000 0.5000  2 Sc 2.80, 8 Si 2.82, 2 Li 2.87

Magnetic moment (μB per atom): 0.000
Formation energy without anion corrections (eV/atom): -0.34
SG: C2/m
Calculated total energy (eV per atom): -5.111

---

Material: LiScSi
Method: DFT, PBE
State: relaxed

a b c (Å): 4.2826 4.2826 3.1348
angles (deg): 90.00 90.00 120.00
Closest atoms and distances in Å follow each position.
Fractional positions:
Si 0.3333 0.6667 0.8323  3 Li 2.47
Sc 0.6667 0.3333 0.3334  6 Si 2.93, 6 Li 2.93, 2 Sc 3.13
Li 0.0000 0.0000 0.8343  3 Si 2.47

Magnetic moment (μB per atom): 0.031
Formation energy without anion corrections (eV/atom): -0.45
SG: P3m1
Calculated total energy (eV per atom): -5.003

---

Material: LiScSi2
Method: DFT, PBE
State: relaxed

a b c (Å): 4.5450 4.5450 4.5450
angles (deg): 60.00 60.00 60.00
Closest atoms and distances in Å follow each position.
Fractional positions:
Si 0.7500 0.7500 0.7500  4 Li 2.78, 4 Sc 2.78
Si 0.2500 0.2500 0.2500  4 Li 2.78, 4 Sc 2.78
Sc 0.5000 0.5000 0.5000  8 Si 2.78
Li 0.0000 0.0000 0.0000  8 Si 2.78

Magnetic moment (μB per atom): 0.000
Formation energy without anion corrections (eV/atom): -0.21
SG: Fm-3m
Calculated total energy (eV per atom): -4.981

---

Material: LiScSi2
Method: DFT, PBE
State: relaxed

a b c (Å): 2.8263 2.8263 8.0699
angles (deg): 90.00 90.00 90.00
Closest atoms and distances in Å follow each position.
Fractional positions:
Sc 0.5000 0.5000 0.7500  4 Sc 2.83, 8 Si 2.86
Si 0.0000 0.0000 0.4970  4 Li 2.82, 4 Si 2.83, 4 Sc 2.86
Si 0.0000 0.0000 0.0030  4 Li 2.82, 4 Si 2.83, 4 Sc 2.86
Li 0.5000 0.5000 0.2500  8 Si 2.82, 4 Li 2.83

Magnetic moment (μB per atom): 0.000
Formation energy without anion corrections (eV/atom): -0.28
SG: P4/mmm
Calculated total energy (eV per atom): -5.049

---

Q: Which value of magnetic moment does entry 3 give?
A: 0.000 μB per atom

---

Q: Look up the calculated total energy of the third one.
A: -4.649 eV per atom